This record from Alexandria describes Na2AgSn5 after structural relaxation. The functional is PBE-GGA.

a = 6.602 Å, b = 6.602 Å, c = 9.383 Å
α = 90.00°, β = 90.00°, γ = 90.00°
Space group I-42m (No. 121)
One atom of each set of equivalent atoms:
Na (0.000, 0.500, 0.000) x4
Ag (0.000, 0.000, 0.000) x2
Sn (0.000, 0.000, 0.500) x2
Sn (0.209, 0.209, 0.753) x8

Calculated values
The formation energy is -96 meV per atom. Its spin magnetization is 0.00 μB per cell. The calculation puts the calculated total energy at -3.28 eV/atom. Its theoretical density is 6.068 g cm⁻³.